# 1
# RbBiB2Sb

RbBiB2Sb after structural relaxation (PBE-GGA, Alexandria). Values from VASP.

The structure in Quantum ESPRESSO input format:
```
&SYSTEM
  ibrav = 0, nat = 5, ntyp = 4
/
ATOMIC_SPECIES
B 10.81 B.upf
Rb 85.47 Rb.upf
Bi 208.98 Bi.upf
Sb 121.76 Sb.upf
ATOMIC_POSITIONS crystal
B 0.000 0.000 0.500
B 0.500 0.000 0.000
Rb 0.500 0.500 0.500
Bi 0.000 0.500 0.000
Sb 0.000 0.000 0.000
CELL_PARAMETERS angstrom
-2.151 2.737 -3.445
-5.372 -2.407 1.442
-0.717 3.566 3.280
```

- Final energy: -3.0202 eV/atom
- Raw formation energy: 1445.0 meV/atom
- Space group: P4/mmm

=====

# 2
# RbBi2B2Se6

RbBi2B2Se6 after structural relaxation (PBE-GGA, Alexandria). Values from VASP.

The structure in Quantum ESPRESSO input format:
```
&SYSTEM
  ibrav = 0, nat = 11, ntyp = 4
/
ATOMIC_SPECIES
Se 78.96 Se.upf
B 10.81 B.upf
Bi 208.98 Bi.upf
Rb 85.47 Rb.upf
ATOMIC_POSITIONS crystal
Se 0.448 0.765 0.026
Se 0.982 0.367 0.251
Se 0.018 0.633 0.749
Se 0.826 0.124 0.348
Se 0.552 0.235 0.974
Se 0.174 0.876 0.652
B 0.219 0.756 0.802
B 0.781 0.244 0.198
Bi 0.873 0.342 0.909
Bi 0.127 0.658 0.091
Rb 0.500 0.000 0.500
CELL_PARAMETERS angstrom
6.387 0.989 -0.950
4.037 7.814 -0.471
-1.260 -4.023 7.567
```

- Final energy: -4.2072 eV/atom
- Raw formation energy: -298.9 meV/atom
- Space group: P-1

=====

# 3
# RbBiBSe4

RbBiBSe4 after structural relaxation (PBE-GGA, Alexandria). Values from VASP.

The structure in Quantum ESPRESSO input format:
```
&SYSTEM
  ibrav = 0, nat = 14, ntyp = 4
/
ATOMIC_SPECIES
Se 78.96 Se.upf
Rb 85.47 Rb.upf
B 10.81 B.upf
Bi 208.98 Bi.upf
ATOMIC_POSITIONS crystal
Se 0.367 0.750 0.532
Se 0.009 0.995 0.275
Se 0.428 0.750 0.202
Se 0.572 0.250 0.798
Se 0.633 0.250 0.468
Se 0.991 0.005 0.725
Se 0.009 0.505 0.275
Se 0.991 0.495 0.725
Rb 0.733 0.750 0.954
Rb 0.267 0.250 0.046
B 0.227 0.750 0.325
B 0.773 0.250 0.675
Bi 0.264 0.250 0.565
Bi 0.736 0.750 0.435
CELL_PARAMETERS angstrom
6.983 0.000 0.144
0.000 5.973 0.000
-2.532 0.000 9.640
```

- Final energy: -4.0933 eV/atom
- Raw formation energy: -455.5 meV/atom
- Space group: P2_1/m

=====

# 4
# RbBi2BSe

RbBi2BSe after structural relaxation (PBE-GGA, Alexandria). Values from VASP.

The structure in Quantum ESPRESSO input format:
```
&SYSTEM
  ibrav = 0, nat = 5, ntyp = 4
/
ATOMIC_SPECIES
B 10.81 B.upf
Rb 85.47 Rb.upf
Bi 208.98 Bi.upf
Se 78.96 Se.upf
ATOMIC_POSITIONS crystal
B 0.000 0.000 0.500
Rb 0.000 0.000 0.000
Bi 0.500 0.000 0.000
Bi 0.000 0.500 0.000
Se 0.500 0.500 0.500
CELL_PARAMETERS angstrom
-3.995 4.447 -1.971
-2.903 -4.226 -3.652
-3.006 -1.085 3.645
```

- Final energy: -1.7437 eV/atom
- Raw formation energy: 2034.6 meV/atom
- Space group: P4/mmm

=====

# 5
# ReBiB2

ReBiB2 after structural relaxation (PBE-GGA, Alexandria). Values from VASP.

The structure in Quantum ESPRESSO input format:
```
&SYSTEM
  ibrav = 0, nat = 8, ntyp = 3
/
ATOMIC_SPECIES
Re 186.21 Re.upf
B 10.81 B.upf
Bi 208.98 Bi.upf
ATOMIC_POSITIONS crystal
Re 0.250 0.750 0.500
Re 0.500 0.500 0.000
B 0.205 0.625 0.250
B 0.375 0.455 0.750
B 0.545 0.125 0.250
B 0.875 0.795 0.750
Bi 0.750 0.250 0.500
Bi 0.000 0.000 0.000
CELL_PARAMETERS angstrom
5.288 0.000 0.000
0.000 5.288 0.000
2.644 2.644 5.115
```

- Final energy: -6.5813 eV/atom
- Energy of formation from the pure elements: 0.840 eV/atom
- Space group: I-42d

=====

# 6
# ReBi3B

ReBi3B after structural relaxation (PBE-GGA, Alexandria). Values from VASP.

The structure in Quantum ESPRESSO input format:
```
&SYSTEM
  ibrav = 0, nat = 5, ntyp = 3
/
ATOMIC_SPECIES
Bi 208.98 Bi.upf
B 10.81 B.upf
Re 186.21 Re.upf
ATOMIC_POSITIONS crystal
Bi 0.000 0.500 0.000
Bi 0.500 0.000 0.000
Bi 0.000 0.000 0.500
B 0.000 0.000 0.000
Re 0.500 0.500 0.500
CELL_PARAMETERS angstrom
4.922 0.000 0.000
0.000 4.922 0.000
0.000 0.000 4.922
```

- Final energy: -4.6221 eV/atom
- Energy relative to the lowest polymorph listed for this composition: 0 meV/atom
- Energy of formation from the pure elements: 1.532 eV/atom
- Space group: Pm-3m

=====

# 7
# ReBi3B

ReBi3B after structural relaxation (PBE-GGA, Alexandria). Values from VASP.

The structure in Quantum ESPRESSO input format:
```
&SYSTEM
  ibrav = 0, nat = 5, ntyp = 3
/
ATOMIC_SPECIES
Bi 208.98 Bi.upf
Re 186.21 Re.upf
B 10.81 B.upf
ATOMIC_POSITIONS crystal
Bi 0.000 0.000 0.500
Bi 0.000 0.500 0.000
Bi 0.500 0.000 0.000
Re 0.000 0.000 0.000
B 0.500 0.500 0.500
CELL_PARAMETERS angstrom
-3.885 -3.586 0.561
2.596 -3.319 -3.242
2.536 -2.095 4.176
```

- Final energy: -4.5319 eV/atom
- Energy relative to the lowest polymorph listed for this composition: 90 meV/atom
- Energy of formation from the pure elements: 1.622 eV/atom
- Space group: Pm-3m

=====

# 8
# ReBiB2S

ReBiB2S after structural relaxation (PBE-GGA, Alexandria). Values from VASP.

The structure in Quantum ESPRESSO input format:
```
&SYSTEM
  ibrav = 0, nat = 5, ntyp = 4
/
ATOMIC_SPECIES
B 10.81 B.upf
Re 186.21 Re.upf
Bi 208.98 Bi.upf
S 32.06 S.upf
ATOMIC_POSITIONS crystal
B 0.000 0.000 0.500
B 0.500 0.000 0.000
Re 0.500 0.500 0.500
Bi 0.000 0.000 0.000
S 0.000 0.500 0.000
CELL_PARAMETERS angstrom
-0.621 2.221 3.916
-4.544 1.939 -1.820
-2.210 -3.594 1.689
```

- Final energy: -4.0293 eV/atom
- Raw formation energy: 2733.0 meV/atom
- Energy relative to the lowest polymorph listed for this composition: 1769 meV/atom
- Space group: P4/mmm

=====

# 9
# ReBiB2S

ReBiB2S after structural relaxation (PBE-GGA, Alexandria). Values from VASP.

The structure in Quantum ESPRESSO input format:
```
&SYSTEM
  ibrav = 0, nat = 5, ntyp = 4
/
ATOMIC_SPECIES
Re 186.21 Re.upf
B 10.81 B.upf
S 32.06 S.upf
Bi 208.98 Bi.upf
ATOMIC_POSITIONS crystal
Re 0.000 0.000 0.000
B 0.500 0.000 0.000
B 0.000 0.000 0.500
S 0.500 0.500 0.500
Bi 0.000 0.500 0.000
CELL_PARAMETERS angstrom
4.098 0.000 0.000
0.000 5.645 0.000
0.000 0.000 4.098
```

- Final energy: -5.7983 eV/atom
- Raw formation energy: 964.0 meV/atom
- Energy relative to the lowest polymorph listed for this composition: 0 meV/atom
- Space group: P4/mmm

=====

# 10
# ReBiB2Sb

ReBiB2Sb after structural relaxation (PBE-GGA, Alexandria). Values from VASP.

The structure in Quantum ESPRESSO input format:
```
&SYSTEM
  ibrav = 0, nat = 5, ntyp = 4
/
ATOMIC_SPECIES
B 10.81 B.upf
Re 186.21 Re.upf
Sb 121.76 Sb.upf
Bi 208.98 Bi.upf
ATOMIC_POSITIONS crystal
B 0.000 0.000 0.500
B 0.500 0.000 0.000
Re 0.000 0.500 0.000
Sb 0.500 0.500 0.500
Bi 0.000 0.000 0.000
CELL_PARAMETERS angstrom
4.548 0.000 0.000
0.000 5.451 0.000
0.000 0.000 4.548
```

- Final energy: -4.2321 eV/atom
- Raw formation energy: 2529.1 meV/atom
- Space group: P4/mmm

=====

# 11
# BiBRh2

BiBRh2 after structural relaxation (PBE-GGA, Alexandria). Values from VASP.

The structure in Quantum ESPRESSO input format:
```
&SYSTEM
  ibrav = 0, nat = 8, ntyp = 3
/
ATOMIC_SPECIES
B 10.81 B.upf
Rh 102.91 Rh.upf
Bi 208.98 Bi.upf
ATOMIC_POSITIONS crystal
B 0.250 0.750 0.500
B 0.500 0.500 0.000
Rh 0.515 0.125 0.250
Rh 0.375 0.485 0.750
Rh 0.235 0.625 0.250
Rh 0.875 0.765 0.750
Bi 0.750 0.250 0.500
Bi 0.000 0.000 0.000
CELL_PARAMETERS angstrom
5.400 0.000 0.000
0.000 5.400 0.000
2.700 2.700 5.112
```

- Final energy: -6.2514 eV/atom
- Energy relative to the lowest polymorph listed for this composition: 248 meV/atom
- Energy of formation from the pure elements: 0.064 eV/atom
- Space group: I-42d

=====

# 12
# BiBRh3

BiBRh3 after structural relaxation (PBE-GGA, Alexandria). Values from VASP.

The structure in Quantum ESPRESSO input format:
```
&SYSTEM
  ibrav = 0, nat = 5, ntyp = 3
/
ATOMIC_SPECIES
Rh 102.91 Rh.upf
Bi 208.98 Bi.upf
B 10.81 B.upf
ATOMIC_POSITIONS crystal
Rh 0.000 0.500 0.000
Rh 0.500 0.000 0.000
Rh 0.000 0.000 0.500
Bi 0.000 0.000 0.000
B 0.500 0.500 0.500
CELL_PARAMETERS angstrom
4.992 0.000 0.000
0.000 4.992 0.000
0.000 0.000 4.992
```

- Final energy: -4.3178 eV/atom
- Energy relative to the lowest polymorph listed for this composition: 2306 meV/atom
- Energy of formation from the pure elements: 2.205 eV/atom
- Space group: Pm-3m

=====

D(E_F) across the listed records, respectively: 0.714; 0.137; 0.222; 1.403; 0.489; 0.829; 0.956; 0.792; 0.732; 0.843; 0.382; 2.334 states/eV per atom.